! PuBeCr2O8 | Alexandria via LeMat-Bulk | PBE+U | optimized geometry; values from VASP
! calculated density = 6.29 g/cm³
! crystal system = orthorhombic
! DFT total energy = -7.99 eV/atom
! SG = No. 65
&SYSTEM
  ibrav = 0, nat = 12, ntyp = 4
/
ATOMIC_SPECIES
O 16.00 O.upf
Cr 52.00 Cr.upf
Pu 244.00 Pu.upf
Be 9.01 Be.upf
CELL_PARAMETERS angstrom
4.6630 0.0240 -0.0025
0.0823 4.6580 -0.0052
0.0045 0.0051 5.8956
ATOMIC_POSITIONS crystal
O 0.8095 0.1916 0.2313
O 0.6947 0.6958 0.0000
O 0.8094 0.1917 0.7685
O 0.3128 0.3116 0.5000
Cr 0.4999 0.5001 0.7638
O 0.1905 0.8084 0.7687
Cr 0.5001 0.4999 0.2362
O 0.6872 0.6884 0.5000
Pu 0.0000 0.0000 0.5000
O 0.3053 0.3042 0.0000
O 0.1906 0.8083 0.2315
Be 0.0000 0.0000 0.0000